# Sm2ErZn12Ni3 | Alexandria | GGA-PBE | optimized geometry
# Theoretical density in g/cm³: 6.62
# D(E_F) in states/eV/atom: 0.51
# VASP energy in eV/atom: -2.4861
# Energy of formation from the pure elements in kcal/mol of atoms: 2.4
data_Sm2ErZn12Ni3
_chemical_formula_sum 'Sm2 Er1 Zn12 Ni3'
_symmetry_space_group_name_H-M 'P 1'
_symmetry_Int_Tables_number 1
_cell_length_a 8.2071
_cell_length_b 8.2071
_cell_length_c 8.2071
_cell_angle_alpha 56.43
_cell_angle_beta 56.43
_cell_angle_gamma 56.43
loop_
_symmetry_equiv_pos_as_xyz
'x,y,z'
loop_
_atom_site_label
_atom_site_fract_x
_atom_site_fract_y
_atom_site_fract_z
_atom_site_occupancy
Sm1 0.0935 0.0935 0.0935 1
Sm2 0.9065 0.9065 0.9065 1
Er1 0.5000 0.5000 0.5000 1
Zn1 0.0168 0.6634 0.6634 1
Zn2 0.2560 0.2560 0.6424 1
Zn3 0.2560 0.6424 0.2560 1
Zn4 0.3366 0.3366 0.9832 1
Zn5 0.3366 0.9832 0.3366 1
Zn6 0.3576 0.7440 0.7440 1
Zn7 0.6424 0.2560 0.2560 1
Zn8 0.6634 0.0168 0.6634 1
Zn9 0.6634 0.6634 0.0168 1
Zn10 0.7440 0.3576 0.7440 1
Zn11 0.7440 0.7440 0.3576 1
Zn12 0.9832 0.3366 0.3366 1
Ni1 0.0000 0.5000 0.5000 1
Ni2 0.5000 0.0000 0.5000 1
Ni3 0.5000 0.5000 0.0000 1